8
Lattice="4.296 0.000 0.000 0.000 7.327 0.000 -2.148 -3.664 7.795" Properties=species:S:1:pos:R:3 comment="Ac3InAu4 GGA-PBE optimized geometry" e_tot_ev_per_atom=-4.2230 rho_g_cm3=10.72 formation_enthalpy_0k_ev_per_atom=-0.701 dos_ef_per_ev_atom=0.83 space_group="Immm, No. 71" magnetic_moment_mub_per_fu=0.00 pbc="T T T"
Ac 0.000 0.000 2.948
Ac 2.148 3.664 4.846
Ac 0.000 3.664 0.000
In 2.148 0.000 0.000
Au 0.000 -1.461 5.811
Au 2.148 5.125 1.983
Au 2.148 2.202 1.983
Au 0.000 1.461 5.811